Record 1
# HfTiBi

A relaxed structure of HfTiBi (GGA-PBE, the Alexandria database).

Results
For the calculated formation energy, the calculation gives 190.4 meV/atom. The space group is Immm, No. 71.

abc: 3.1179 5.6601 16.0551
angles: 90.00 90.00 90.00
Closest atoms and distances in Å follow each position.
Positions (direct):
Hf (0.0000, 0.2423, 0.0000)  2 Hf 2.74-2.92, 4 Ti 3.05
Hf (0.0000, 0.7577, 0.0000)  2 Hf 2.74-2.92, 4 Ti 3.05
Hf (0.5000, 0.2577, 0.5000)  2 Hf 2.74-2.92, 4 Ti 3.05
Hf (0.5000, 0.7423, 0.5000)  2 Hf 2.74-2.92, 4 Ti 3.05
Ti (0.0000, 0.5000, 0.3607)  5 Bi 3.01-3.28, 4 Hf 3.05, 2 Ti 3.12
Ti (0.0000, 0.5000, 0.6393)  5 Bi 3.01-3.28, 4 Hf 3.05, 2 Ti 3.12
Ti (0.5000, 0.0000, 0.1393)  5 Bi 3.01-3.28, 4 Hf 3.05, 2 Ti 3.12
Ti (0.5000, 0.0000, 0.8607)  5 Bi 3.01-3.28, 4 Hf 3.05, 2 Ti 3.12
Bi (0.0000, 0.5000, 0.1733)  5 Ti 3.01-3.28, 2 Bi 3.12, 2 Hf 3.14
Bi (0.0000, 0.5000, 0.8267)  5 Ti 3.01-3.28, 2 Bi 3.12, 2 Hf 3.14
Bi (0.5000, 0.0000, 0.3267)  5 Ti 3.01-3.28, 2 Bi 3.12, 2 Hf 3.14
Bi (0.5000, 0.0000, 0.6733)  5 Ti 3.01-3.28, 2 Bi 3.12, 2 Hf 3.14

Record 2
# Tb2Te2H

A relaxed structure of Tb2Te2H (GGA-PBE, the Alexandria database).

Results
The space group is Cmc2_1, No. 36. As for the total energy: -4.802 eV per atom.

abc: 5.8079 5.8079 11.5131
angles: 90.00 90.00 140.23
Closest atoms and distances in Å follow each position.
Positions (direct):
Tb (0.0538, 0.9462, 0.5000)  2 H 2.53
Tb (0.2249, 0.7751, 0.7503)  2 H 2.71
Tb (0.7751, 0.2249, 0.2503)  2 H 2.71
Tb (0.9462, 0.0538, 0.0000)  2 H 2.53
Te (0.0632, 0.9368, 0.2389)  5 Tb 3.01-3.15, 2 H 3.29
Te (0.3327, 0.6673, 0.4577)  5 Tb 3.09-3.16, 2 H 3.41
Te (0.6673, 0.3327, 0.9577)  5 Tb 3.09-3.16, 2 H 3.41
Te (0.9368, 0.0632, 0.7389)  5 Tb 3.01-3.15, 2 H 3.29
H (0.3628, 0.6372, 0.1122)  4 Tb 2.53-2.71
H (0.6372, 0.3628, 0.6122)  4 Tb 2.53-2.71

Record 3
# OsRh2Br

A relaxed structure of OsRh2Br (GGA-PBE, the Alexandria database).

Results
The uncorrected formation energy is 0.72 eV per atom. The energy above the most stable polymorph in this dataset is 254.4 meV/atom. The space group is Pm, No. 6.

abc: 2.8374 4.5162 4.9597
angles: 90.00 90.45 90.00
Closest atoms and distances in Å follow each position.
Positions (direct):
Os (0.0000, 0.0000, 0.0000)  6 Rh 2.69-2.75, 2 Os 2.84, 2 Br 3.01
Rh (0.4985, 0.0000, 0.5382)  2 Br 2.48, 2 Os 2.69-2.70
Rh (0.5051, 0.5000, 0.8758)  2 Br 2.49-2.61, 4 Os 2.73-2.75
Br (0.2993, 0.5000, 0.3628)  4 Rh 2.48-2.61

no.,DOS(E_F) (states/eV/cell)
1,14.317
2,6.126
3,3.862